Material: Cu6Hg7
Method: DFT, PBE-GGA
State: relaxed

Calculated values
The calculation puts the calculated formation energy at 0.44 eV/atom. The crystal system is trigonal. Its space group is R-3m.

abc: 9.9503 9.9503 9.9503
angles: 33.93 33.93 33.93
Fractional coordinates of all 13 atoms:
Cu1 0.0875 0.0875 0.0875
Cu2 0.1754 0.1754 0.1754
Cu3 0.3344 0.3344 0.3344
Cu4 0.6656 0.6656 0.6656
Cu5 0.8246 0.8246 0.8246
Cu6 0.9125 0.9125 0.9125
Hg1 0.0738 0.5773 0.5773
Hg2 0.4227 0.4227 0.9262
Hg3 0.4227 0.9262 0.4227
Hg4 0.5000 0.5000 0.5000
Hg5 0.5773 0.0738 0.5773
Hg6 0.5773 0.5773 0.0738
Hg7 0.9262 0.4227 0.4227